DFT (PBE) results for crystalline BaTb4Se6 at its relaxed geometry.

Output
ΔE_f (raw) in meV per atom: -1894
Final energy in eV per atom: -5.65
SG: No. 63

Cell: 7.111 7.111 21.391 Å, 90.00 90.00 145.83°
Element x y z (fractional)
Ba  0.159  0.841  0.750
Ba  0.841  0.159  0.250
Tb  0.095  0.905  0.126
Tb  0.095  0.905  0.374
Tb  0.362  0.638  0.039
Tb  0.362  0.638  0.461
Tb  0.638  0.362  0.539
Tb  0.638  0.362  0.961
Tb  0.905  0.095  0.626
Tb  0.905  0.095  0.874
Se  0.000  0.000  0.000
Se  0.000  0.000  0.500
Se  0.161  0.839  0.250
Se  0.268  0.732  0.586
Se  0.268  0.732  0.914
Se  0.459  0.541  0.157
Se  0.459  0.541  0.343
Se  0.541  0.459  0.657
Se  0.541  0.459  0.843
Se  0.732  0.268  0.086
Se  0.732  0.268  0.414
Se  0.839  0.161  0.750